Density functional theory data (GGA-PBE) for Mg2NpBeO6 after structural relaxation.

Cell lengths 5.1826, 5.1826, 15.0622 Å; angles 90.00, 90.00, 120.00 degrees
Space group R3 (No. 146, hexagonal axes)
Inequivalent atoms, fractional coordinates:
Mg  0.0000  0.0000  0.0000 x3
Mg  0.0000  0.0000  0.4894 x3
Np  0.0000  0.0000  0.6902 x3
Be  0.0000  0.0000  0.2596 x3
O  0.0093  0.3711  0.9330 x9
O  0.0157  0.6725  0.7555 x9

Values from the calculation:
ΔE_f (raw) ... -2.5908 eV/atom